A plane-wave DFT calculation with PBE was carried out for crystalline Cu3Ag7 at its relaxed geometry.

Cell and atoms, written as POSCAR:
```
Cu3Ag7
1.0
4.544 -1.989 0.000
4.544 1.989 0.000
-0.178 0.000 8.958
Cu Ag
3 7
Cartesian
0.000 0.000 0.000
0.767 0.000 6.381
2.684 0.000 0.868
1.728 0.000 3.589
3.529 0.000 7.291
4.467 0.000 4.564
5.350 0.000 1.711
6.209 0.000 8.128
7.156 0.000 5.460
8.074 0.000 2.584
```

Output
V = 16.20 Å³/atom
E_form = 0.08 eV/atom
SG = No. 8
E_tot = -3.016 eV per atom
energy above the most stable polymorph in this dataset = 0.047 eV/atom